An optimized crystal structure of ErV2BiO8. Source: Alexandria via LeMat-Bulk, functional PBE+U.

Unit cell a=5.8014 b=5.8014 c=6.6700 alpha=90.00 beta=90.00 gamma=120.00
Fractional coordinates of all 12 atoms:
V 0.6667 0.3333 0.1926
V 0.3333 0.6667 0.8074
O 0.6736 0.8366 0.7301
O 0.6667 0.3333 0.9458
O 0.3333 0.6667 0.0542
O 0.3264 0.1634 0.2699
O 0.8370 0.6736 0.2699
O 0.8366 0.1630 0.2699
O 0.1630 0.3264 0.7301
O 0.1634 0.8370 0.7301
Bi 0.0000 0.0000 0.0000
Er 0.0000 0.0000 0.5000

Computed properties:
The calculation puts the calculated volume at 194.4 Å³ per cell. The space group is No. 164. Its total energy is -7.36 eV/atom. The magnetic moment is 0.00 Bohr magnetons per cell.